Entry 1:
Material: Y2HfScO
Method: DFT, PBE
State: relaxed

Cell and atoms, written as POSCAR:
```
Y2HfScO
1.0
4.9549 0.0000 0.0000
0.0000 4.9549 0.0000
0.0000 0.0000 4.3287
Y Hf Sc O
2 1 1 1
Direct
0.0000 0.5000 0.0000
0.5000 0.0000 0.0000
0.0000 0.0000 0.5000
0.5000 0.5000 0.5000
0.5000 0.5000 0.0000
```

- E_form (uncorrected): -1.0567 eV/atom
- Energy above the most stable polymorph in this dataset: 0.0072 eV/atom
- Crystal system: tetragonal


Entry 2:
Material: YHfScO2
Method: DFT, PBE
State: relaxed

Cell and atoms, written as POSCAR:
```
YHfScO2
1.0
4.1412 0.0000 0.0000
0.0000 4.1412 0.0000
0.0000 0.0000 6.1148
Y Hf Sc O
1 1 1 2
Direct
0.0000 0.0000 0.0000
0.5000 0.5000 0.5000
0.5000 0.5000 0.0000
0.0000 0.5000 0.5000
0.5000 0.0000 0.5000
```

- E_form (uncorrected): -1.0560 eV/atom
- Crystal system: tetragonal


Entry 3:
Material: Y2HfScO
Method: DFT, PBE
State: relaxed

Cell and atoms, written as POSCAR:
```
Y2HfScO
1.0
4.9873 0.0000 0.0000
0.0000 4.9873 0.0000
0.0000 0.0000 4.3359
Y Hf Sc O
2 1 1 1
Direct
0.0000 0.5000 0.0000
0.5000 0.0000 0.0000
0.0000 0.0000 0.5000
0.5000 0.5000 0.5000
0.0000 0.0000 0.0000
```

- E_form (uncorrected): -1.0639 eV/atom
- Energy above the most stable polymorph in this dataset: 0.0000 eV/atom
- Crystal system: tetragonal


Entry 4:
Material: YHfSc2O
Method: DFT, PBE
State: relaxed

Cell and atoms, written as POSCAR:
```
YHfSc2O
1.0
4.5797 0.0000 0.0000
0.0000 4.5797 0.0000
0.0000 0.0000 4.6943
Y Hf Sc O
1 1 2 1
Direct
0.0000 0.0000 0.0000
0.5000 0.5000 0.0000
0.0000 0.5000 0.5000
0.5000 0.0000 0.5000
0.5000 0.5000 0.5000
```

- E_form (uncorrected): -0.9921 eV/atom
- Energy above the most stable polymorph in this dataset: 0.0681 eV/atom
- Crystal system: tetragonal


Entry 5:
Material: YHfSc2O
Method: DFT, PBE
State: relaxed

Cell and atoms, written as POSCAR:
```
YHfSc2O
1.0
4.4651 0.0000 0.0000
0.0000 4.4651 0.0000
0.0000 0.0000 4.9571
Y Hf Sc O
1 1 2 1
Direct
0.0000 0.0000 0.0000
0.5000 0.5000 0.0000
0.0000 0.5000 0.5000
0.5000 0.0000 0.5000
0.0000 0.0000 0.5000
```

- E_form (uncorrected): -1.0602 eV/atom
- Energy above the most stable polymorph in this dataset: 0.0000 eV/atom
- Crystal system: tetragonal


Entry 6:
Material: Hf2ScZnO
Method: DFT, PBE
State: relaxed

Cell and atoms, written as POSCAR:
```
Hf2ScZnO
1.0
4.2933 0.0000 0.0000
0.0000 4.2933 0.0000
0.0000 0.0000 4.9040
Hf Sc Zn O
2 1 1 1
Direct
0.0000 0.5000 0.0000
0.5000 0.0000 0.0000
0.0000 0.0000 0.5000
0.5000 0.5000 0.5000
0.5000 0.5000 0.0000
```

- E_form (uncorrected): -0.8411 eV/atom
- Energy above the most stable polymorph in this dataset: 0.2612 eV/atom
- Crystal system: tetragonal


Entry 7:
Material: HfSc2ZnO
Method: DFT, PBE
State: relaxed

Cell and atoms, written as POSCAR:
```
HfSc2ZnO
1.0
4.3625 0.0000 0.0000
0.0000 4.3625 0.0000
0.0000 0.0000 4.3795
Hf Sc Zn O
1 2 1 1
Direct
0.0000 0.0000 0.0000
0.0000 0.5000 0.5000
0.5000 0.0000 0.5000
0.5000 0.5000 0.0000
0.0000 0.0000 0.5000
```

- E_form (uncorrected): -1.2513 eV/atom
- Crystal system: tetragonal


Entry 8:
Material: Hf2ScZnO
Method: DFT, PBE
State: relaxed

Cell and atoms, written as POSCAR:
```
Hf2ScZnO
1.0
4.3742 0.0000 0.0000
0.0000 4.3742 0.0000
0.0000 0.0000 4.3750
Hf Sc Zn O
2 1 1 1
Direct
0.0000 0.5000 0.0000
0.5000 0.0000 0.0000
0.0000 0.0000 0.5000
0.5000 0.5000 0.5000
0.0000 0.0000 0.0000
```

- E_form (uncorrected): -1.1023 eV/atom
- Energy above the most stable polymorph in this dataset: 0.0000 eV/atom
- Crystal system: tetragonal


Entry 9:
Material: Hf2ZrScO
Method: DFT, PBE
State: relaxed

Cell and atoms, written as POSCAR:
```
Hf2ZrScO
1.0
4.5223 0.0000 0.0000
0.0000 4.5223 0.0000
0.0000 0.0000 4.4952
Hf Zr Sc O
2 1 1 1
Direct
0.0000 0.5000 0.0000
0.5000 0.0000 0.0000
0.0000 0.0000 0.5000
0.5000 0.5000 0.5000
0.5000 0.5000 0.0000
```

- E_form (uncorrected): -1.0928 eV/atom
- Energy above the most stable polymorph in this dataset: 0.0000 eV/atom
- Crystal system: tetragonal


Entry 10:
Material: HfZr2ScO
Method: DFT, PBE
State: relaxed

Cell and atoms, written as POSCAR:
```
HfZr2ScO
1.0
4.6154 0.0000 0.0000
0.0000 4.6154 0.0000
0.0000 0.0000 4.4257
Hf Zr Sc O
1 2 1 1
Direct
0.0000 0.0000 0.0000
0.0000 0.5000 0.5000
0.5000 0.0000 0.5000
0.5000 0.5000 0.0000
0.0000 0.0000 0.5000
```

- E_form (uncorrected): -1.0531 eV/atom
- Energy above the most stable polymorph in this dataset: 0.0596 eV/atom
- Crystal system: tetragonal


Entry 11:
Material: Hf2ZrScO
Method: DFT, PBE
State: relaxed

Cell and atoms, written as POSCAR:
```
Hf2ZrScO
1.0
4.4835 0.0000 0.0000
0.0000 4.4835 0.0000
0.0000 0.0000 4.6353
Hf Zr Sc O
2 1 1 1
Direct
0.0000 0.5000 0.0000
0.5000 0.0000 0.0000
0.0000 0.0000 0.5000
0.5000 0.5000 0.5000
0.0000 0.0000 0.0000
```

- E_form (uncorrected): -1.0335 eV/atom
- Energy above the most stable polymorph in this dataset: 0.0593 eV/atom
- Crystal system: tetragonal


Entry 12:
Material: HfZr2ScO
Method: DFT, PBE
State: relaxed

Cell and atoms, written as POSCAR:
```
HfZr2ScO
1.0
5.7187 0.0000 0.0000
0.0000 5.7187 0.0000
0.0000 0.0000 3.8604
Hf Zr Sc O
1 2 1 1
Direct
0.0000 0.0000 0.0000
0.0000 0.5000 0.0000
0.5000 0.0000 0.0000
0.5000 0.5000 0.5000
0.0000 0.0000 0.5000
```

- E_form (uncorrected): 0.1075 eV/atom
- Energy above the most stable polymorph in this dataset: 1.2201 eV/atom
- Crystal system: tetragonal